Mg3Zr12Cd: relaxed, PBE-GGA.

abc: 4.4683 4.4683 17.9356
angles: 90.00 90.00 90.00
Closest atoms and distances in Å follow each position.
Sites, in units of the cell vectors:
Zr 0.0000 0.5000 0.3750  8 Zr 3.16-3.18, 4 Mg 3.16-3.17
Zr 0.5000 0.0000 0.1249  8 Zr 3.15-3.16, 2 Cd 3.16, 2 Mg 3.17
Zr 0.5000 0.0000 0.6250  8 Zr 3.16-3.18, 4 Mg 3.16-3.17
Zr 0.5000 0.0000 0.8751  8 Zr 3.15-3.16, 2 Cd 3.16, 2 Mg 3.17
Zr 0.5000 0.5000 0.2489  8 Zr 3.15-3.18, 4 Mg 3.16
Zr 0.5000 0.5000 0.7511  8 Zr 3.15-3.18, 4 Mg 3.16
Zr 0.5000 0.0000 0.3750  8 Zr 3.16-3.18, 4 Mg 3.16-3.17
Zr 0.0000 0.5000 0.1249  8 Zr 3.15-3.16, 2 Cd 3.16, 2 Mg 3.17
Zr 0.5000 0.5000 0.0000  4 Cd 3.16, 8 Zr 3.16
Zr 0.0000 0.5000 0.8751  8 Zr 3.15-3.16, 2 Cd 3.16, 2 Mg 3.17
Zr 0.0000 0.5000 0.6250  8 Zr 3.16-3.18, 4 Mg 3.16-3.17
Zr 0.5000 0.5000 0.5000  4 Mg 3.16, 8 Zr 3.16
Mg 0.0000 0.0000 0.2499  12 Zr 3.16-3.17
Mg 0.0000 0.0000 0.5000  12 Zr 3.16
Mg 0.0000 0.0000 0.7501  12 Zr 3.16-3.17
Cd 0.0000 0.0000 0.0000  12 Zr 3.16

electronic total energy	-108.35	eV for the cell shown
M_tot	0.000	Bohr magnetons per cell
energy of formation	-4	meV per atom